Record 1
Crystalline Cs2KRbAu at its relaxed geometry. Source: Alexandria, functional PBE.

Computed properties:
- density of states at the Fermi level (states/eV/atom) = 0.9541
- calculated formation energy (kJ per mole of atoms) = -12
- E_tot (eV/atom) = -1.54

abc: 7.261 7.261 6.873
angles: 90.00 90.00 90.00
Fractional positions:
Cs  0.000  0.500  0.000
Cs  0.500  0.000  0.000
K  0.000  0.000  0.500
Rb  0.500  0.500  0.500
Au  0.000  0.000  0.000

Record 2
Crystalline Ba2PrF8 at its relaxed geometry. Source: Alexandria, functional PBE.

Computed properties:
- density of states at the Fermi level (states/eV/atom) = 0.8869
- E_tot (eV/atom) = -5.70
- ΔE_f (raw) (eV/atom) = -3.56

abc: 10.634 10.634 10.634
angles: 157.59 157.59 31.89
Fractional positions:
Ba  0.165  0.165  0.000
Ba  0.835  0.835  0.000
Pr  0.500  0.500  0.000
F  0.063  0.563  0.500
F  0.250  0.750  0.500
F  0.347  0.347  0.000
F  0.437  0.937  0.500
F  0.563  0.063  0.500
F  0.653  0.653  0.000
F  0.750  0.250  0.500
F  0.937  0.437  0.500

Record 3
Crystalline YCdI2 at its relaxed geometry. Source: Alexandria, functional PBE.

Computed properties:
- density of states at the Fermi level (states/eV/atom) = 0.8836
- E_tot (eV/atom) = -3.08
- ΔE_f (raw) (eV/atom) = -0.46
- ΔE to the lowest computed polymorph (eV per atom) = 0.1826

abc: 5.570 5.570 5.570
angles: 60.00 60.00 60.00
Fractional positions:
Y  0.000  0.000  0.000
Cd  0.500  0.500  0.500
I  0.250  0.250  0.250
I  0.750  0.750  0.750

Record 4
Crystalline KBa2Sr at its relaxed geometry. Source: Alexandria, functional PBE.

Computed properties:
- density of states at the Fermi level (states/eV/atom) = 1.5487
- calculated formation energy (kJ per mole of atoms) = 5
- E_tot (eV/atom) = -1.61
- ΔE to the lowest computed polymorph (eV per atom) = 0.0055

abc: 4.309 4.309 14.650
angles: 90.00 90.00 112.25
Fractional positions:
K  0.000  0.000  0.000
Ba  0.500  0.500  0.263
Ba  0.500  0.500  0.737
Sr  0.000  0.000  0.500

Record 5
Crystalline TbFe6Co6 at its relaxed geometry. Source: Alexandria, functional PBE.

Computed properties:
- density of states at the Fermi level (states/eV/atom) = 0.9556
- calculated formation energy (kJ per mole of atoms) = -8
- E_tot (eV/atom) = -7.62

abc: 6.346 6.346 6.346
angles: 136.16 98.31 97.71
Fractional positions:
Tb  0.000  0.000  0.000
Fe  0.223  0.723  0.500
Fe  0.357  0.000  0.357
Fe  0.358  0.358  0.000
Fe  0.642  0.642  0.000
Fe  0.643  0.000  0.643
Fe  0.777  0.277  0.500
Co  0.000  0.000  0.500
Co  0.000  0.500  0.000
Co  0.229  0.500  0.729
Co  0.500  0.000  0.000
Co  0.500  0.500  0.500
Co  0.771  0.500  0.271

Record 6
Crystalline Be2SiPb at its relaxed geometry. Source: Alexandria, functional PBE.

Computed properties:
- density of states at the Fermi level (states/eV/atom) = 0.4416
- E_tot (eV/atom) = -3.50
- ΔE_f (raw) (eV/atom) = 0.65
- ΔE to the lowest computed polymorph (eV per atom) = 0.3925

abc: 4.782 4.782 4.782
angles: 133.25 104.60 93.60
Fractional positions:
Be  0.168  0.168  0.000
Be  0.832  0.832  0.000
Si  0.000  0.500  0.500
Pb  0.500  0.000  0.500

Record 7
Crystalline K5Rb8Au at its relaxed geometry. Source: Alexandria, functional PBE.

Computed properties:
- density of states at the Fermi level (states/eV/atom) = 0.7345
- calculated formation energy (kJ per mole of atoms) = -1
- E_tot (eV/atom) = -1.19

abc: 11.159 11.159 11.159
angles: 106.94 106.94 114.66
Fractional positions:
K  0.000  0.000  0.000
K  0.289  0.196  0.774
K  0.422  0.516  0.226
K  0.484  0.711  0.907
K  0.804  0.578  0.093
Rb  0.026  0.429  0.852
Rb  0.088  0.389  0.397
Rb  0.309  0.912  0.301
Rb  0.571  0.423  0.597
Rb  0.577  0.174  0.148
Rb  0.611  0.008  0.699
Rb  0.826  0.974  0.403
Rb  0.992  0.691  0.603
Au  0.750  0.250  0.500

Record 8
Crystalline BeSb2Se at its relaxed geometry. Source: Alexandria, functional PBE.

Computed properties:
- density of states at the Fermi level (states/eV/atom) = 0.3735
- E_tot (eV/atom) = -3.60
- ΔE_f (raw) (eV/atom) = 0.26
- ΔE to the lowest computed polymorph (eV per atom) = 0.3437

abc: 6.599 6.599 6.599
angles: 149.72 141.68 49.60
Fractional positions:
Be  0.000  0.000  0.000
Sb  0.173  0.673  0.500
Sb  0.827  0.327  0.500
Se  0.500  0.500  0.000

Record 9
Crystalline CdP2C at its relaxed geometry. Source: Alexandria, functional PBE.

Computed properties:
- density of states at the Fermi level (states/eV/atom) = 0.0000
- calculated formation energy (kJ per mole of atoms) = 45
- E_tot (eV/atom) = -4.78
- ΔE to the lowest computed polymorph (eV per atom) = 0.0000

abc: 5.748 5.748 5.748
angles: 122.45 122.45 85.81
Fractional positions:
Cd  0.000  0.000  0.000
Cd  0.750  0.250  0.500
P  0.222  0.625  0.097
P  0.375  0.472  0.597
P  0.528  0.125  0.903
P  0.875  0.778  0.403
C  0.250  0.750  0.500
C  0.500  0.500  0.000

Record 10
Crystalline Tb6Sm3YHo2 at its relaxed geometry. Source: Alexandria, functional PBE.

Computed properties:
- density of states at the Fermi level (states/eV/atom) = 1.3109
- calculated formation energy (kJ per mole of atoms) = 2
- E_tot (eV/atom) = -4.78

abc: 6.188 6.188 11.841
angles: 94.98 94.98 119.98
Fractional positions:
Tb  0.083  0.417  0.752
Tb  0.249  0.249  0.248
Tb  0.417  0.083  0.752
Tb  0.583  0.917  0.248
Tb  0.751  0.751  0.752
Tb  0.917  0.583  0.248
Sm  0.000  0.000  0.500
Sm  0.333  0.667  0.500
Sm  0.667  0.333  0.500
Y  0.500  0.500  0.000
Ho  0.167  0.833  0.000
Ho  0.833  0.167  0.000

Record 11
Crystalline ThBe4SiIr2 at its relaxed geometry. Source: Alexandria, functional PBE.

Computed properties:
- density of states at the Fermi level (states/eV/atom) = 0.5759
- E_tot (eV/atom) = -6.02
- ΔE_f (raw) (eV/atom) = -0.33

abc: 8.505 8.505 8.505
angles: 26.73 26.73 26.73
Fractional positions:
Th  0.000  0.000  0.000
Be  0.122  0.122  0.122
Be  0.410  0.410  0.410
Be  0.590  0.590  0.590
Be  0.878  0.878  0.878
Si  0.500  0.500  0.500
Ir  0.224  0.224  0.224
Ir  0.776  0.776  0.776

Record 12
Crystalline Gd3TmFe at its relaxed geometry. Source: Alexandria, functional PBE.

Computed properties:
- density of states at the Fermi level (states/eV/atom) = 1.3728
- calculated formation energy (kJ per mole of atoms) = 12
- E_tot (eV/atom) = -10.91

abc: 5.287 5.287 5.287
angles: 90.00 90.00 90.00
Fractional positions:
Gd  0.000  0.000  0.500
Gd  0.000  0.500  0.000
Gd  0.500  0.000  0.000
Tm  0.500  0.500  0.500
Fe  0.000  0.000  0.000